No. 1
# Cs4KRb2, optimized geometry, DFT PBE
# Energy above the most stable polymorph in this dataset in eV/atom: 0.107
# Calculated formation energy in eV/atom: 0.113
# D(E_F) in states/eV/f.u.: 7.1
# M_tot in μB/atom: 0.000
# E_tot in eV per atom: -0.81
data_Cs4KRb2
_cell_length_a 8.424
_cell_length_b 8.424
_cell_length_c 13.550
_cell_angle_alpha 71.89
_cell_angle_beta 71.89
_cell_angle_gamma 90.00
_symmetry_space_group_name_H-M 'P 1'
_symmetry_Int_Tables_number 1
loop_
_symmetry_equiv_pos_as_xyz
'x,y,z'
loop_
_atom_site_label
_atom_site_fract_x
_atom_site_fract_y
_atom_site_fract_z
Cs1 0.811 0.811 0.377
Cs2 0.189 0.189 0.623
Cs3 0.500 0.000 0.000
Cs4 0.000 0.500 0.000
K1 0.000 0.000 0.000
Rb1 0.613 0.613 0.773
Rb2 0.387 0.387 0.227

=====

No. 2
# Cs3KRb5, optimized geometry, DFT PBE
# Energy above the most stable polymorph in this dataset in eV/atom: 0.010
# Calculated formation energy in eV/atom: 0.016
# D(E_F) in states/eV/f.u.: 9.2
# M_tot in μB/atom: 0.000
# E_tot in eV per atom: -0.93
data_Cs3KRb5
_cell_length_a 9.727
_cell_length_b 14.369
_cell_length_c 14.369
_cell_angle_alpha 120.00
_cell_angle_beta 90.00
_cell_angle_gamma 90.00
_symmetry_space_group_name_H-M 'P 1'
_symmetry_Int_Tables_number 1
loop_
_symmetry_equiv_pos_as_xyz
'x,y,z'
loop_
_atom_site_label
_atom_site_fract_x
_atom_site_fract_y
_atom_site_fract_z
Rb1 0.750 0.000 0.703
Rb2 0.500 0.333 0.667
Rb3 0.250 0.297 0.000
Rb4 0.000 0.667 0.333
Rb5 0.750 0.297 0.297
Rb6 0.500 0.667 0.333
Rb7 0.000 0.333 0.667
Rb8 0.250 0.000 0.297
Rb9 0.250 0.703 0.703
Rb10 0.750 0.703 0.000
Cs1 0.250 0.000 0.639
Cs2 0.750 0.361 0.000
Cs3 0.750 0.639 0.639
Cs4 0.250 0.639 0.000
Cs5 0.250 0.361 0.361
Cs6 0.750 0.000 0.361
K1 0.500 0.000 0.000
K2 0.000 0.000 0.000